This record from OQMD via LeMat-Bulk describes a relaxed structure of ZnAsPtO. The functional is PBE.

abc: 4.2254 5.6974 5.3727
angles: 90.00 90.00 90.00
With the nearest neighbours (Å) after each atom.
Space group Pmc2_1 (No. 26)
Unique sites:
1 Zn 0.0000 0.1516 0.0000 (multiplicity 2)  2 O 2.01-2.02
2 As 0.5000 0.3161 0.8522 (multiplicity 2)  2 Zn 2.44, 2 Pt 2.49
3 Pt 0.5000 0.2493 0.3938 (multiplicity 2)  2 O 2.15
4 O 0.0000 0.1821 0.3736 (multiplicity 2)  2 Zn 2.01-2.02, 2 Pt 2.15

Values from the calculation:
Raw total energy = -4.534 eV per atom